Computed, not measured: a geometry-optimized Li3Ce3ZrS8 structure at the GGA-PBE level of DFT.

The calculation puts the energy relative to the elements, uncorrected at -1695.6 meV/atom. As for the uncorrected energy: -6.036 eV/atom. As for the magnetization: 0.2019 μB/atom.

It has space group R-3m (No. 166, hexagonal axes), with a = 7.9962 Å, b = 7.9962 Å, c = 18.3768 Å, α = 90.00°, β = 90.00° and γ = 120.00°. The distinct sites, in fractional coordinates, are Li at (0.0000, 0.5000, 0.0000), Ce at (0.0000, 0.5000, 0.5000), Zr at (0.0000, 0.0000, 0.5000), S at (0.0000, 0.0000, 0.2530) and S at (0.0235, 0.5117, 0.2477).